Record 1
# GdHfOsRu

Crystalline GdHfOsRu at its relaxed geometry (GGA-PBE, Alexandria via LeMat-Bulk). Values from VASP.

Output
Raw total energy (eV per atom): -11.519
Crystal system: cubic

```
&SYSTEM
  ibrav = 0, nat = 4, ntyp = 4
/
ATOMIC_SPECIES
Gd 157.25 Gd.upf
Hf 178.49 Hf.upf
Os 190.23 Os.upf
Ru 101.07 Ru.upf
ATOMIC_POSITIONS angstrom
Gd 0.000 0.000 0.000
Hf 3.334 3.334 3.334
Os 1.667 1.667 1.667
Ru 5.001 5.001 5.001
CELL_PARAMETERS angstrom
0.000 3.334 3.334
3.334 0.000 3.334
3.334 3.334 0.000
```


Record 2
# BaCr2SnHg

Crystalline BaCr2SnHg at its relaxed geometry (GGA-PBE, Alexandria via LeMat-Bulk). Values from VASP.

Output
Raw total energy (eV per atom): -4.449
Crystal system: tetragonal

```
&SYSTEM
  ibrav = 0, nat = 5, ntyp = 4
/
ATOMIC_SPECIES
Ba 137.33 Ba.upf
Cr 52.00 Cr.upf
Sn 118.71 Sn.upf
Hg 200.59 Hg.upf
ATOMIC_POSITIONS angstrom
Ba 0.000 0.000 0.000
Cr 0.000 2.664 2.807
Cr 2.664 0.000 2.807
Sn 2.664 2.664 0.000
Hg 2.664 2.664 2.807
CELL_PARAMETERS angstrom
5.329 0.000 0.000
0.000 5.329 0.000
0.000 0.000 5.615
```


Record 3
# Nd7HoTl2

Crystalline Nd7HoTl2 at its relaxed geometry (GGA-PBE, Alexandria via LeMat-Bulk). Values from VASP.

Output
Raw total energy (eV per atom): -3.936
Crystal system: orthorhombic

```
&SYSTEM
  ibrav = 0, nat = 10, ntyp = 3
/
ATOMIC_SPECIES
Nd 144.24 Nd.upf
Ho 164.93 Ho.upf
Tl 204.38 Tl.upf
ATOMIC_POSITIONS angstrom
Nd 0.000 0.000 0.000
Nd 2.992 1.924 0.000
Nd 4.699 3.601 2.689
Nd 2.992 -1.924 0.000
Nd 6.407 1.924 0.000
Nd 4.699 -3.601 2.689
Nd 6.407 -1.924 0.000
Ho 4.699 0.000 2.689
Tl 4.699 4.964 0.000
Tl 4.699 -4.964 0.000
CELL_PARAMETERS angstrom
4.699 -8.096 0.000
4.699 8.096 0.000
0.000 0.000 5.379
```


> Which formula does entry 3 have?

Nd7HoTl2


Copy entry 3 word for word.
# Nd7HoTl2

Crystalline Nd7HoTl2 at its relaxed geometry (GGA-PBE, Alexandria via LeMat-Bulk). Values from VASP.

Output
Raw total energy (eV per atom): -3.936
Crystal system: orthorhombic

```
&SYSTEM
  ibrav = 0, nat = 10, ntyp = 3
/
ATOMIC_SPECIES
Nd 144.24 Nd.upf
Ho 164.93 Ho.upf
Tl 204.38 Tl.upf
ATOMIC_POSITIONS angstrom
Nd 0.000 0.000 0.000
Nd 2.992 1.924 0.000
Nd 4.699 3.601 2.689
Nd 2.992 -1.924 0.000
Nd 6.407 1.924 0.000
Nd 4.699 -3.601 2.689
Nd 6.407 -1.924 0.000
Ho 4.699 0.000 2.689
Tl 4.699 4.964 0.000
Tl 4.699 -4.964 0.000
CELL_PARAMETERS angstrom
4.699 -8.096 0.000
4.699 8.096 0.000
0.000 0.000 5.379
```


> Number 2 is which compound?

BaCr2SnHg